An optimized crystal structure of Pm2AlZn16, computed with PBE.

abc: 6.836 6.836 6.836
angles: 82.88 82.88 82.88
Sites, in units of the cell vectors:
Pm 0.665 0.665 0.665
Pm 0.335 0.335 0.335
Al 0.903 0.903 0.903
Zn 0.703 0.000 0.297
Zn 0.000 0.297 0.703
Zn 0.297 0.703 0.000
Zn 0.000 0.703 0.297
Zn 0.703 0.297 0.000
Zn 0.297 0.000 0.703
Zn 0.351 0.837 0.351
Zn 0.837 0.351 0.351
Zn 0.351 0.351 0.837
Zn 0.649 0.162 0.649
Zn 0.162 0.649 0.649
Zn 0.649 0.649 0.162
Zn 0.001 0.498 0.001
Zn 0.498 0.001 0.001
Zn 0.001 0.001 0.498
Zn 0.100 0.100 0.100

DFT formation energy, meV per atom: -252

=====

An optimized crystal structure of Pm4Al2Zn, computed with PBE.

abc: 5.197 5.197 8.905
angles: 73.03 73.03 60.00
Sites, in units of the cell vectors:
Zn 0.000 0.000 0.000
Al 0.748 0.748 0.757
Al 0.252 0.252 0.243
Pm 0.873 0.873 0.382
Pm 0.127 0.127 0.618
Pm 0.621 0.621 0.136
Pm 0.379 0.379 0.864

DFT formation energy, meV per atom: -225

=====

An optimized crystal structure of PmAl7Zn5, computed with PBE.

abc: 5.187 7.045 7.045
angles: 82.41 68.40 68.40
Sites, in units of the cell vectors:
Pm 0.996 0.004 0.004
Al 0.644 0.356 0.356
Al 0.356 0.644 0.644
Al 0.002 0.354 0.643
Al 0.002 0.643 0.354
Al 0.284 0.216 0.216
Al 0.500 0.782 0.218
Al 0.500 0.218 0.782
Zn 0.500 0.997 0.503
Zn 0.000 0.997 0.503
Zn 0.500 0.503 0.997
Zn 0.000 0.503 0.997
Zn 0.716 0.784 0.784

DFT formation energy, meV per atom: -108

=====

An optimized crystal structure of Pm3Al8Zn3, computed with PBE.

abc: 4.336 8.371 8.371
angles: 74.57 74.99 74.99
Sites, in units of the cell vectors:
Pm 0.500 0.500 0.500
Pm 0.817 0.183 0.183
Pm 0.183 0.817 0.817
Al 0.631 0.091 0.647
Al 0.369 0.909 0.353
Al 0.631 0.647 0.091
Al 0.369 0.353 0.909
Al 0.836 0.794 0.534
Al 0.164 0.206 0.466
Al 0.836 0.534 0.794
Al 0.164 0.466 0.206
Zn 0.500 0.000 0.000
Zn 0.000 0.784 0.216
Zn 0.000 0.216 0.784

DFT formation energy, meV per atom: -386

=====

An optimized crystal structure of PmAlZn2, computed with PBE.

abc: 4.339 5.623 4.347
angles: 112.65 119.94 90.00
Sites, in units of the cell vectors:
Pm 0.500 0.000 0.000
Al 0.000 0.500 0.000
Zn 0.285 0.356 0.570
Zn 0.715 0.644 0.430

DFT formation energy, meV per atom: -309

=====

An optimized crystal structure of PmAl5Zn7, computed with PBE.

abc: 5.580 6.892 6.892
angles: 81.62 66.12 66.12
Sites, in units of the cell vectors:
Pm 0.003 0.997 0.997
Al 0.498 0.005 0.497
Al 0.001 0.005 0.497
Al 0.498 0.497 0.005
Al 0.001 0.497 0.005
Al 0.721 0.779 0.779
Zn 0.645 0.355 0.355
Zn 0.354 0.646 0.646
Zn 0.998 0.357 0.647
Zn 0.998 0.647 0.357
Zn 0.284 0.216 0.216
Zn 0.500 0.784 0.216
Zn 0.500 0.216 0.784

DFT formation energy, meV per atom: -134

=====

An optimized crystal structure of PmAlZn3, computed with PBE.

abc: 4.699 4.699 11.881
angles: 101.41 101.41 90.00
Sites, in units of the cell vectors:
Pm 0.000 0.000 0.000
Pm 0.250 0.750 0.500
Al 0.601 0.101 0.201
Al 0.899 0.399 0.799
Zn 0.624 0.875 0.750
Zn 0.125 0.874 0.250
Zn 0.125 0.376 0.250
Zn 0.126 0.875 0.750
Zn 0.344 0.344 0.688
Zn 0.656 0.656 0.312

DFT formation energy, meV per atom: 163
Energy above the most stable polymorph in this dataset, meV/atom: 518

=====

An optimized crystal structure of Pm4Al5Zn2, computed with PBE.

abc: 3.619 7.400 9.559
angles: 93.33 90.00 90.00
Sites, in units of the cell vectors:
Pm 0.500 0.724 0.559
Pm 0.500 0.171 0.883
Pm 0.500 0.276 0.441
Pm 0.500 0.829 0.117
Al 0.000 0.563 0.289
Al 0.000 0.200 0.168
Al 0.000 0.500 0.000
Al 0.000 0.800 0.832
Al 0.000 0.437 0.711
Zn 0.000 0.055 0.634
Zn 0.000 0.945 0.366

DFT formation energy, meV per atom: -312